Version a
AlAgSe2Br: optimized geometry, PBE.

Geometry as CIF:
```
data_AlAgSe2Br
_chemical_formula_sum 'Al1 Ag1 Se2 Br1'
_cell_length_a 5.104
_cell_length_b 5.104
_cell_length_c 5.386
_cell_angle_alpha 90.00
_cell_angle_beta 90.00
_cell_angle_gamma 90.00
_space_group_name_H-M_alt 'P 1'
_space_group_IT_number 1
loop_
_space_group_symop_operation_xyz
'x,y,z'
loop_
_atom_site_label
_atom_site_type_symbol
_atom_site_fract_x
_atom_site_fract_y
_atom_site_fract_z
_atom_site_occupancy
Al1 Al 0.000 0.000 0.000 1
Ag1 Ag 0.500 0.500 0.500 1
Se1 Se 0.000 0.500 0.500 1
Se2 Se 0.500 0.000 0.500 1
Br1 Br 0.500 0.500 0.000 1
```

Results
* calculated density: 4.4 g cm⁻³

Version b
AlAgSe2Br: optimized geometry, PBE.

Geometry as CIF:
```
data_AlAgSe2Br
_chemical_formula_sum 'Al1 Ag1 Se2 Br1'
_cell_length_a 4.878
_cell_length_b 4.878
_cell_length_c 5.277
_cell_angle_alpha 90.00
_cell_angle_beta 90.00
_cell_angle_gamma 90.00
_space_group_name_H-M_alt 'P 1'
_space_group_IT_number 1
loop_
_space_group_symop_operation_xyz
'x,y,z'
loop_
_atom_site_label
_atom_site_type_symbol
_atom_site_fract_x
_atom_site_fract_y
_atom_site_fract_z
_atom_site_occupancy
Al1 Al 0.000 0.000 0.000 1
Ag1 Ag 0.500 0.500 0.500 1
Se1 Se 0.000 0.500 0.000 1
Se2 Se 0.500 0.000 0.000 1
Br1 Br 0.000 0.000 0.500 1
```

Results
* calculated density: 4.9 g cm⁻³

Tell me which of them is the most stable. Sure, it is version b.